The following is a DFT calculation (PBE-GGA) of a relaxed TlCdRe2 crystal.

Values from the calculation:
* ΔE_f: 640 meV/atom
* ρ: 14.48 g/cm³
* E: -25.62 eV/cell
* energy above the lowest structure with this stoichiometry: 244 meV per atom
* space-group type: No. 35

abc: 2.8617 2.8617 10.8751
angles: 90.00 90.00 117.46
With the nearest neighbours (Å) after each atom.
Sites, in units of the cell vectors:
1 Tl 0.0000 0.0000 0.0000  6 Tl 2.86-2.97, 2 Re 3.16
2 Cd 0.5000 0.5000 0.3103  6 Cd 2.86-2.97, 2 Re 3.01
3 Re 0.0000 0.0000 0.5506  6 Re 2.57-2.86
4 Re 0.5000 0.5000 0.7430  6 Re 2.57-2.86